A relaxed Tb2HoTm3S6 crystal, computed with PBE.

a b c (Å): 8.6671 8.6671 7.7911
angles (deg): 103.35 103.35 25.76
Closest atoms and distances in Å follow each position.
Positions (direct):
1 Tb 0.1671 0.1671 0.3341  6 S 2.76-2.78
2 Tb 0.8329 0.8329 0.6659  6 S 2.76-2.78
3 Ho 0.5000 0.5000 0.0000  6 S 2.75-2.76
4 Tm 0.1673 0.1673 0.8329  6 S 2.71-2.72
5 Tm 0.5000 0.5000 0.5000  6 S 2.70-2.73
6 Tm 0.8327 0.8327 0.1671  6 S 2.71-2.72
7 S 0.0020 0.0020 0.7483  3 Tm 2.71-2.73, 2 Ho 2.76, 1 Tb 2.78
8 S 0.3328 0.3328 0.9222  3 Tm 2.72, 1 Ho 2.75, 2 Tb 2.78
9 S 0.3353 0.3353 0.4121  3 Tm 2.70-2.71, 3 Tb 2.76-2.77
10 S 0.6647 0.6647 0.5879  3 Tm 2.70-2.71, 3 Tb 2.76-2.77
11 S 0.6672 0.6672 0.0778  3 Tm 2.72, 1 Ho 2.75, 2 Tb 2.78
12 S 0.9980 0.9980 0.2517  3 Tm 2.71-2.73, 2 Ho 2.76, 1 Tb 2.78

Output
* formation energy (no corrections): -1.965 eV/atom
* total magnetization: 0.00 μB per cell

=====

A relaxed Tb2Nb2Si2C crystal, computed with PBE.

a b c (Å): 4.2518 4.2518 15.0309
angles (deg): 90.00 90.00 90.00
Closest atoms and distances in Å follow each position.
Positions (direct):
1 Tb 0.0000 0.0000 0.1676  1 C 2.52
2 Tb 0.0000 0.0000 0.8324  1 C 2.52
3 Tb 0.5000 0.5000 0.3324  1 C 2.52
4 Tb 0.5000 0.5000 0.6676  1 C 2.52
5 Nb 0.0000 0.5000 0.0000  2 C 2.13
6 Nb 0.0000 0.5000 0.5000  2 C 2.13
7 Nb 0.5000 0.0000 0.0000  2 C 2.13
8 Nb 0.5000 0.0000 0.5000  2 C 2.13
9 Si 0.0000 0.0000 0.3750  4 Nb 2.84, 5 Tb 3.07-3.12
10 Si 0.0000 0.0000 0.6250  4 Nb 2.84, 5 Tb 3.07-3.12
11 Si 0.5000 0.5000 0.1250  4 Nb 2.84, 5 Tb 3.07-3.12
12 Si 0.5000 0.5000 0.8750  4 Nb 2.84, 5 Tb 3.07-3.12
13 C 0.0000 0.0000 0.0000  4 Nb 2.13
14 C 0.5000 0.5000 0.5000  4 Nb 2.13

Output
* formation energy (no corrections): -0.601 eV/atom
* total magnetization: 0.00 μB per cell

=====

A relaxed Tb4Pm2Y2Mg crystal, computed with PBE.

a b c (Å): 6.6439 6.9960 7.5201
angles (deg): 88.26 73.80 62.88
Closest atoms and distances in Å follow each position.
Positions (direct):
1 Tb 0.0081 0.1284 0.2839  1 Mg 3.08, 2 Y 3.37-3.41
2 Tb 0.4629 0.8459 0.8484  3 Y 3.43-3.74, 4 Tb 3.46-3.63, 1 Mg 3.57, 2 Pm 3.59-3.81
3 Tb 0.5371 0.1541 0.1516  3 Y 3.43-3.74, 4 Tb 3.46-3.63, 1 Mg 3.57, 2 Pm 3.59-3.81
4 Tb 0.9919 0.8716 0.7161  1 Mg 3.08, 2 Y 3.37-3.41
5 Pm 0.4696 0.3280 0.6777  1 Mg 3.43, 3 Y 3.50-3.76, 5 Tb 3.57-3.81, 1 Pm 3.60
6 Pm 0.5304 0.6720 0.3223  1 Mg 3.43, 3 Y 3.50-3.76, 5 Tb 3.57-3.81, 1 Pm 3.60
7 Y 0.0992 0.6440 0.1033  1 Mg 3.11, 4 Tb 3.37-3.45, 1 Y 3.46
8 Y 0.9008 0.3560 0.8967  1 Mg 3.11, 4 Tb 3.37-3.45, 1 Y 3.46
9 Mg 0.0000 0.5000 0.5000  2 Tb 3.08, 2 Y 3.11, 2 Pm 3.43

Output
* energy relative to the elements: 133 meV per atom
* total magnetization: 0.00 μB per cell

=====

> What is the total magnetization in the third record?

0.00 μB per cell

=====

Please write out number 1 again, unchanged.
A relaxed Tb2HoTm3S6 crystal, computed with PBE.

a b c (Å): 8.6671 8.6671 7.7911
angles (deg): 103.35 103.35 25.76
Closest atoms and distances in Å follow each position.
Positions (direct):
1 Tb 0.1671 0.1671 0.3341  6 S 2.76-2.78
2 Tb 0.8329 0.8329 0.6659  6 S 2.76-2.78
3 Ho 0.5000 0.5000 0.0000  6 S 2.75-2.76
4 Tm 0.1673 0.1673 0.8329  6 S 2.71-2.72
5 Tm 0.5000 0.5000 0.5000  6 S 2.70-2.73
6 Tm 0.8327 0.8327 0.1671  6 S 2.71-2.72
7 S 0.0020 0.0020 0.7483  3 Tm 2.71-2.73, 2 Ho 2.76, 1 Tb 2.78
8 S 0.3328 0.3328 0.9222  3 Tm 2.72, 1 Ho 2.75, 2 Tb 2.78
9 S 0.3353 0.3353 0.4121  3 Tm 2.70-2.71, 3 Tb 2.76-2.77
10 S 0.6647 0.6647 0.5879  3 Tm 2.70-2.71, 3 Tb 2.76-2.77
11 S 0.6672 0.6672 0.0778  3 Tm 2.72, 1 Ho 2.75, 2 Tb 2.78
12 S 0.9980 0.9980 0.2517  3 Tm 2.71-2.73, 2 Ho 2.76, 1 Tb 2.78

Output
* formation energy (no corrections): -1.965 eV/atom
* total magnetization: 0.00 μB per cell